ErSc3Cu2 | PBE | relaxed

The space group is Ibam (No. 72) and the conventional cell measures 6.3843, 12.7433 and 6.8274 Å, with angles of 90.00, 90.00 and 90.00 degrees. The distinct sites, in fractional coordinates, are Er at (0.0000, 0.0000, 0.0000), Sc at (0.0000, 0.2369, 0.2500), Sc at (0.0000, 0.5000, 0.2500) and Cu at (0.2043, 0.3563, 0.0000).

The total magnetization comes out at 0.00 μB per formula unit. The formation enthalpy at 0 K is 0.05 eV per atom. Its final energy is -5.246 eV per atom. The value obtained for the energy above the most stable polymorph in this dataset is 180 meV/atom.

=====

ErSc3Cu4 | PBE | relaxed

The space group is P4/mmm (No. 123) and the conventional cell measures 3.3038, 3.3038 and 13.1917 Å, with angles of 90.00, 90.00 and 90.00 degrees. The distinct sites, in fractional coordinates, are Er at (0.0000, 0.0000, 0.0000), Sc at (0.0000, 0.0000, 0.2566), Sc at (0.0000, 0.0000, 0.5000), Cu at (0.5000, 0.5000, 0.1393) and Cu at (0.5000, 0.5000, 0.3772).

The total magnetization comes out at 0.00 μB per formula unit. The formation enthalpy at 0 K is -0.27 eV per atom. Its final energy is -5.265 eV per atom.

=====

ErScCu5 | PBE | relaxed

The space group is Pnma (No. 62) and the conventional cell measures 8.3055, 4.9625 and 10.8180 Å, with angles of 90.00, 90.00 and 90.00 degrees. The distinct sites, in fractional coordinates, are Er at (0.1290, 0.2500, 0.1394), Sc at (0.2359, 0.2500, 0.4452), Cu at (0.0520, 0.2500, 0.8900), Cu at (0.0697, 0.0003, 0.6810), Cu at (0.0876, 0.7500, 0.4797) and Cu at (0.1946, 0.7500, 0.2659).

The total magnetization comes out at 0.00 μB per formula unit. The formation enthalpy at 0 K is -0.18 eV per atom. Its final energy is -4.665 eV per atom.

=====

- What is the formation enthalpy at 0 K in the second record?
  -0.27 eV per atom